Entry from Alexandria via LeMat-Bulk: crystalline AcDyTmLu at its relaxed geometry (PBE-GGA).

Raw total energy: -0.3171 Ry per atom
Fermi-level density of states: 5.2 states/eV/f.u.
Calculated density: 9.0 g cm⁻³
E_form: 0.112 eV/atom

Unit cell a=8.152 b=8.152 c=8.152 alpha=90.00 beta=90.00 gamma=90.00
Positions (direct):
Ac (0.000, 0.000, 0.000)
Ac (0.000, 0.500, 0.500)
Ac (0.500, 0.000, 0.500)
Ac (0.500, 0.500, 0.000)
Dy (0.000, 0.000, 0.500)
Dy (0.000, 0.500, 0.000)
Dy (0.500, 0.000, 0.000)
Dy (0.500, 0.500, 0.500)
Tm (0.250, 0.250, 0.750)
Tm (0.250, 0.750, 0.250)
Tm (0.750, 0.250, 0.250)
Tm (0.750, 0.750, 0.750)
Lu (0.250, 0.250, 0.250)
Lu (0.250, 0.750, 0.750)
Lu (0.750, 0.250, 0.750)
Lu (0.750, 0.750, 0.250)